(1)
First-principles (GGA-PBE) data for a geometry-optimized CuTcC2 structure, as listed in Alexandria.

Properties
crystal system	cubic
energy above the lowest structure with this stoichiometry	0.695	eV/atom

a b c (Å): 5.310 5.310 5.310
angles (deg): 90.00 90.00 90.00
Space group Fm-3m (No. 225)
Inequivalent atoms, fractional coordinates:
Cu1 0.000 0.000 0.000
Tc1 0.000 0.000 0.500
C1 0.250 0.250 0.250

(2)
First-principles (GGA-PBE) data for a geometry-optimized Cu3TcC structure, as listed in Alexandria.

Properties
crystal system	cubic
energy above the lowest structure with this stoichiometry	0.000	eV/atom

a b c (Å): 3.877 3.877 3.877
angles (deg): 90.00 90.00 90.00
Space group Pm-3m (No. 221)
Inequivalent atoms, fractional coordinates:
Cu1 0.000 0.000 0.500
Tc1 0.500 0.500 0.500
C1 0.000 0.000 0.000

(3)
First-principles (GGA-PBE) data for a geometry-optimized CuTcC2 structure, as listed in Alexandria.

Properties
crystal system	tetragonal
energy above the lowest structure with this stoichiometry	0.000	eV/atom

a b c (Å): 4.582 4.582 9.159
angles (deg): 90.00 90.00 90.00
Space group I-42d (No. 122)
Inequivalent atoms, fractional coordinates:
Cu1 0.000 0.000 0.000
Tc1 0.000 0.000 0.500
C1 0.232 0.250 0.625

(4)
First-principles (GGA-PBE) data for a geometry-optimized Y2CuTcC structure, as listed in Alexandria.

Properties
crystal system	tetragonal

a b c (Å): 4.941 4.941 3.927
angles (deg): 90.00 90.00 90.00
Space group P4/mmm (No. 123)
Inequivalent atoms, fractional coordinates:
Y1 0.000 0.500 0.000
Cu1 0.000 0.000 0.500
Tc1 0.500 0.500 0.500
C1 0.500 0.500 0.000

For reference, size of the total moment by record: 2.24, 0.00, 0.00, 0.00 μB/cell.
For reference, total energy by record: -107.11, -27.84, -118.23, -37.51 eV per cell.
For reference, DFT formation energy by record: 1.533, 0.807, 0.838, -0.179 eV per atom.